1.
Density functional theory data (GGA-PBE) for an optimized crystal structure of K5Rb2Na4.

Cell and atoms, written as extended XYZ:
```
11
Lattice="8.338 0.000 0.000 4.169 9.210 -0.573 4.169 1.669 8.892" Properties=species:S:1:pos:R:3 pbc="T T T"
K 6.248 3.027 7.210
K 10.428 7.852 1.108
K 4.169 5.439 4.159
K 10.428 3.027 7.210
K 6.248 7.852 1.108
Rb 8.338 7.623 5.770
Rb 8.338 3.256 2.549
Na 4.169 1.590 3.549
Na 12.507 9.289 4.769
Na 12.507 6.876 7.750
Na 4.169 4.002 0.569
```

* formation enthalpy at 0 K: 0.455 eV per formula unit
* ρ: 1.10 g/cm³
* total magnetization: 0.0000 μB per atom
* final energy: -1.113 eV/atom
* N(E_F): 0.590 states/eV per atom



2.
Density functional theory data (GGA-PBE) for an optimized crystal structure of LaTb12Ho2.

Cell and atoms, written as extended XYZ:
```
30
Lattice="-0.636 6.284 2.097 -1.328 0.684 6.485 24.411 5.026 1.505" Properties=species:S:1:pos:R:3 pbc="T T T"
La -0.306 3.136 1.056
La 23.735 5.374 4.740
Tb 18.409 6.954 5.930
Tb 18.760 9.736 3.714
Tb 19.443 8.737 8.372
Tb 21.276 5.648 7.622
Tb 6.733 2.368 6.977
Tb 0.825 3.546 4.659
Tb 12.805 8.135 3.671
Tb 7.083 5.154 4.766
Tb 20.390 5.255 4.072
Tb 2.022 6.741 6.006
Tb 13.572 5.007 2.713
Tb 9.988 6.659 4.223
Tb 15.710 9.640 3.128
Tb 9.856 3.503 3.084
Tb 3.039 3.255 1.724
Tb 8.854 6.987 7.370
Tb 12.611 8.491 7.009
Tb 3.692 2.240 6.351
Tb 12.459 5.334 5.864
Tb 15.368 6.826 5.304
Tb 21.620 8.453 5.434
Tb 4.032 5.058 4.180
Tb 9.642 3.860 6.417
Tb 1.172 6.341 2.459
Ho 5.046 5.457 7.741
Ho 6.028 1.963 3.457
Ho 16.419 10.021 6.638
Ho 17.401 6.547 2.339
```

* formation enthalpy at 0 K: 1.622 eV per formula unit
* ρ: 8.06 g/cm³
* total magnetization: 0.0000 μB per atom
* final energy: -4.535 eV/atom
* N(E_F): 1.581 states/eV per atom



3.
Density functional theory data (GGA-PBE) for an optimized crystal structure of ZrPtS2.

Cell and atoms, written as extended XYZ:
```
8
Lattice="-4.542 -0.179 1.106 -0.976 -1.640 -4.271 -1.900 -7.723 0.839" Properties=species:S:1:pos:R:3 pbc="T T T"
S -3.496 -2.250 0.382
S -1.592 -2.976 -2.336
S -3.481 -6.453 -0.501
S -6.265 -7.407 -2.196
Zr -2.759 -0.910 -1.582
Zr -2.817 -5.137 -2.507
Pt 0.000 0.000 0.000
Pt -4.600 -4.406 0.182
```

* ρ: 7.30 g/cm³
* total magnetization: 0.0000 μB per atom
* raw formation energy: -0.778 eV/atom
* final energy: -6.489 eV/atom
* N(E_F): 0.090 states/eV per atom



4.
Density functional theory data (GGA-PBE) for an optimized crystal structure of Tm2InCu9.

Cell and atoms, written as extended XYZ:
```
12
Lattice="-3.667 -3.218 -1.402 0.552 -2.805 -4.194 2.488 -7.966 2.584" Properties=species:S:1:pos:R:3 pbc="T T T"
Tm -1.668 -8.468 -3.771
Tm 1.041 -5.521 0.758
In 0.000 0.000 0.000
Cu 0.407 -11.973 -1.153
Cu -1.033 -2.016 -1.860
Cu -0.313 -6.994 -1.506
Cu -0.675 -4.488 -1.683
Cu -2.523 -6.109 -2.389
Cu -0.397 -5.902 -3.796
Cu 0.048 -9.501 -1.330
Cu -0.230 -8.087 0.783
Cu 1.896 -7.880 -0.623
```

* formation enthalpy at 0 K: -1.666 eV per formula unit
* ρ: 9.26 g/cm³
* total magnetization: 0.0000 μB per atom
* final energy: -4.184 eV/atom
* N(E_F): 0.350 states/eV per atom



The highest N(E_F) belongs to which entry?
LaTb12Ho2



What did the third record say?
Density functional theory data (GGA-PBE) for an optimized crystal structure of ZrPtS2.

Cell and atoms, written as extended XYZ:
```
8
Lattice="-4.542 -0.179 1.106 -0.976 -1.640 -4.271 -1.900 -7.723 0.839" Properties=species:S:1:pos:R:3 pbc="T T T"
S -3.496 -2.250 0.382
S -1.592 -2.976 -2.336
S -3.481 -6.453 -0.501
S -6.265 -7.407 -2.196
Zr -2.759 -0.910 -1.582
Zr -2.817 -5.137 -2.507
Pt 0.000 0.000 0.000
Pt -4.600 -4.406 0.182
```

* ρ: 7.30 g/cm³
* total magnetization: 0.0000 μB per atom
* raw formation energy: -0.778 eV/atom
* final energy: -6.489 eV/atom
* N(E_F): 0.090 states/eV per atom